The following is a DFT calculation (GGA-PBE) of a relaxed Li2InSi crystal.

- total magnetization (μB/f.u.) = 0.00
- raw formation energy (eV/atom) = -0.125
- energy (eV for the cell shown) = -25.0

Lattice parameters (Å, degrees): 5.6141 8.5910 2.8617 90.00 90.00 90.00
Space group Cmmm (No. 65)
Inequivalent atoms, fractional coordinates:
Li1 0.2500 0.2500 0.0000 x4
In1 0.0000 0.0000 0.5000 x2
Si1 0.0000 0.5000 0.5000 x2